Here is a relaxed BaInCu2 crystal from the Alexandria database. Energies are from GGA-PBEsol.

**D(E_F)**: 0.5931 states/eV per atom
**Energy relative to the elements**: -0.101 eV per atom
**M_tot**: 0.0 μB/f.u.

abc: 4.337 4.333 6.479
angles: 109.62 90.00 120.03
Positions (direct):
1 Cu 0.941 0.882 0.821
2 Cu 0.269 0.538 0.806
3 In 0.550 0.100 0.650
4 Ba 0.740 0.480 0.222